1.
DFT (GGA-PBE) results for an optimized crystal structure of Tb3Pr3HoTe8.

## Properties
DFT total energy ... -5.281 eV per atom

Cell lengths 8.895, 8.895, 8.895 Å; angles 59.53, 59.53, 59.53 degrees
Atoms (fractional coordinates):
Tb 0.000 0.500 0.500
Tb 0.500 0.000 0.500
Tb 0.500 0.500 0.000
Pr 0.000 0.000 0.500
Pr 0.000 0.500 0.000
Pr 0.500 0.000 0.000
Ho 0.000 0.000 0.000
Te 0.250 0.250 0.741
Te 0.250 0.741 0.250
Te 0.254 0.254 0.254
Te 0.259 0.750 0.750
Te 0.741 0.250 0.250
Te 0.746 0.746 0.746
Te 0.750 0.259 0.750
Te 0.750 0.750 0.259

=====

2.
DFT (GGA-PBE) results for an optimized crystal structure of SrPrEr.

## Properties
DFT total energy ... -3.461 eV per atom
ΔE_f ... 0.21 eV/atom
Excess energy over the best structure of this formula in the dataset ... 0.30 eV per formula unit

Cell lengths 6.946, 3.642, 9.420 Å; angles 90.00, 90.00, 90.00 degrees
Atoms (fractional coordinates):
Sr 0.250 0.000 0.139
Sr 0.750 0.000 0.861
Pr 0.250 0.500 0.764
Pr 0.750 0.500 0.236
Er 0.000 0.000 0.500
Er 0.500 0.000 0.500

=====

3.
DFT (GGA-PBE) results for an optimized crystal structure of CaUIn2.

## Properties
DFT total energy ... -4.706 eV per atom
ΔE_f ... -0.01 eV/atom

Cell lengths 5.777, 5.777, 3.191 Å; angles 90.00, 90.00, 90.00 degrees
Atoms (fractional coordinates):
Ca 0.000 0.000 0.000
U 0.500 0.500 0.000
In 0.000 0.500 0.500
In 0.500 0.000 0.500

=====

4.
DFT (GGA-PBE) results for an optimized crystal structure of CuReNi6.

## Properties
DFT total energy ... -6.391 eV per atom
ΔE_f ... 0.01 eV/atom
Excess energy over the best structure of this formula in the dataset ... 0.12 eV per formula unit

Cell lengths 6.194, 6.194, 10.131 Å; angles 90.00, 90.00, 109.32 degrees
Atoms (fractional coordinates):
Cu 0.000 0.000 0.248
Cu 0.000 0.000 0.752
Cu 0.248 0.752 0.000
Cu 0.752 0.248 0.000
Re 0.251 0.749 0.500
Re 0.500 0.500 0.240
Re 0.500 0.500 0.760
Re 0.749 0.251 0.500
Ni 0.000 0.000 0.000
Ni 0.000 0.000 0.500
Ni 0.126 0.377 0.376
Ni 0.126 0.377 0.624
Ni 0.127 0.376 0.126
Ni 0.127 0.376 0.874
Ni 0.251 0.749 0.252
Ni 0.251 0.749 0.748
Ni 0.376 0.127 0.126
Ni 0.376 0.127 0.874
Ni 0.377 0.126 0.376
Ni 0.377 0.126 0.624
Ni 0.500 0.500 0.000
Ni 0.500 0.500 0.500
Ni 0.623 0.874 0.376
Ni 0.623 0.874 0.624
Ni 0.624 0.873 0.126
Ni 0.624 0.873 0.874
Ni 0.749 0.251 0.252
Ni 0.749 0.251 0.748
Ni 0.873 0.624 0.126
Ni 0.873 0.624 0.874
Ni 0.874 0.623 0.376
Ni 0.874 0.623 0.624

=====

5.
DFT (GGA-PBE) results for an optimized crystal structure of HgPtN3.

## Properties
DFT total energy ... -3.200 eV per atom

Cell lengths 4.172, 4.172, 4.172 Å; angles 90.00, 90.00, 90.00 degrees
Atoms (fractional coordinates):
Hg 0.000 0.000 0.000
Pt 0.500 0.500 0.500
N 0.000 0.000 0.500
N 0.000 0.500 0.000
N 0.500 0.000 0.000

=====

6.
DFT (GGA-PBE) results for an optimized crystal structure of ScTa4Cr.

## Properties
DFT total energy ... -10.136 eV per atom
ΔE_f ... 0.43 eV/atom

Cell lengths 5.501, 5.501, 5.501 Å; angles 60.00, 60.00, 60.00 degrees
Atoms (fractional coordinates):
Sc 0.000 0.000 0.000
Ta 0.124 0.625 0.625
Ta 0.625 0.124 0.625
Ta 0.625 0.625 0.124
Ta 0.625 0.625 0.625
Cr 0.250 0.250 0.250

=====

Q: DFT total energy of number 3 (CaUIn2)?
A: -4.706 eV per atom

=====

Copy entry 5 word for word.
DFT (GGA-PBE) results for an optimized crystal structure of HgPtN3.

## Properties
DFT total energy ... -3.200 eV per atom

Cell lengths 4.172, 4.172, 4.172 Å; angles 90.00, 90.00, 90.00 degrees
Atoms (fractional coordinates):
Hg 0.000 0.000 0.000
Pt 0.500 0.500 0.500
N 0.000 0.000 0.500
N 0.000 0.500 0.000
N 0.500 0.000 0.000

=====

Q: Which of these has the lowest DFT total energy?
A: ScTa4Cr